No. 1
This record from Alexandria via LeMat-Bulk describes Tl2In4Hg after structural relaxation. The functional is PBE.

Values from the calculation:
As for the formation energy from the elements: 114 meV/atom. Its density of states at the Fermi level is 3.2 states/eV/cell. As for the crystal system: orthorhombic. The calculation puts the energy above the most stable polymorph in this dataset at 0.0000 eV per atom.

abc: 4.5621 5.3635 9.5423
angles: 106.32 90.00 90.00
Closest atoms and distances in Å follow each position.
Atoms (fractional coordinates):
Tl: 0.5000 0.2058 0.4115  2 Tl 3.13, 5 In 3.15-3.42
Tl: 0.5000 0.7942 0.5885  2 Tl 3.13, 5 In 3.15-3.42
In: 0.5000 0.6074 0.2148  2 Hg 3.01, 2 Tl 3.23
In: 0.0000 0.9126 0.8252  2 Hg 3.12, 2 Tl 3.15, 1 In 3.20
In: 0.5000 0.3926 0.7852  2 Hg 3.01, 2 Tl 3.23
In: 0.0000 0.0874 0.1748  2 Hg 3.12, 2 Tl 3.15, 1 In 3.20
Hg: 0.0000 0.5000 0.0000  8 In 3.01-3.12

---

No. 2
This record from Alexandria via LeMat-Bulk describes RbSiB after structural relaxation. The functional is PBE.

Values from the calculation:
The value obtained for the raw formation energy is 0.180 eV per atom. Its density of states at the Fermi level is 0.9 states/eV/cell. As for the crystal system: orthorhombic.

abc: 5.7048 3.5449 6.2005
angles: 90.00 90.00 90.00
Closest atoms and distances in Å follow each position.
Atoms (fractional coordinates):
Si: 0.5000 0.0000 0.8064  2 B 2.05
Si: 0.5000 0.0000 0.1936  2 B 2.05
B: 0.5000 0.5000 0.6387  1 B 1.72
B: 0.5000 0.5000 0.3613  1 B 1.72
Rb: 0.0000 0.5000 0.0000  6 Rb 3.54-3.57, 8 Si 3.57, 4 B 3.63
Rb: 0.0000 0.0000 0.5000  4 Si 3.43, 8 B 3.47, 6 Rb 3.54-3.57

---

No. 3
This record from Alexandria via LeMat-Bulk describes Be3OsPd after structural relaxation. The functional is PBE.

Values from the calculation:
As for the formation energy from the elements: 866 meV/atom. Its density of states at the Fermi level is 2.3 states/eV/cell. As for the crystal system: cubic. The calculation puts the energy above the most stable polymorph in this dataset at 0.1887 eV per atom.

abc: 4.0212 4.0212 4.0212
angles: 90.00 90.00 90.00
Closest atoms and distances in Å follow each position.
Atoms (fractional coordinates):
Be: 0.0000 0.5000 0.0000  2 Pd 2.01
Be: 0.0000 0.0000 0.5000  2 Pd 2.01
Be: 0.5000 0.0000 0.0000  2 Pd 2.01
Os: 0.5000 0.5000 0.5000  12 Be 2.84
Pd: 0.0000 0.0000 0.0000  6 Be 2.01

---

No. 4
This record from Alexandria via LeMat-Bulk describes CsRb4Na2 after structural relaxation. The functional is PBE.

Values from the calculation:
As for the formation energy from the elements: 206 meV/atom. Its density of states at the Fermi level is 5.1 states/eV/cell. As for the crystal system: tetragonal. The calculation puts the energy above the most stable polymorph in this dataset at 0.1648 eV per atom.

abc: 8.1881 8.1881 11.7846
angles: 69.67 69.67 90.00
Closest atoms and distances in Å follow each position.
Atoms (fractional coordinates):
Cs: 0.0000 0.0000 0.0000  4 Rb 4.09
Na: 0.5821 0.5821 0.8358  1 Na 3.37
Na: 0.4179 0.4179 0.1642  1 Na 3.37
Rb: 0.7729 0.7729 0.4542  1 Na 3.92
Rb: 0.2271 0.2271 0.5458  1 Na 3.92
Rb: 0.0000 0.5000 0.0000  2 Cs 4.09, 4 Na 4.43
Rb: 0.5000 0.0000 0.0000  2 Cs 4.09, 4 Na 4.43